## KLaTe2 (PBE)

Data for a geometry-optimized KLaTe2 structure.

Values from the calculation:
E_form (uncorrected): -1.25 eV per atom

abc: 8.5697 8.5697 10.1901
angles: 90.00 90.00 90.00
Space group I-42d (No. 122)
Symmetry-distinct sites (fractional):
K (0.0000, 0.0000, 0.0000) x4
La (0.0000, 0.0000, 0.5000) x4
Te (0.2142, 0.7500, 0.6250) x8